Entry 1:
An optimized crystal structure of Cu4Te5Se. Source: the Alexandria database, functional PBE.

Size of the total moment ... 0.0 μB/f.u.
Theoretical density ... 6.65 Mg/m³
E ... -71.308 eV/cell
Space-group type ... No. 59

a = 6.804 Å, b = 8.177 Å, c = 8.721 Å
α = 90.00°, β = 90.00°, γ = 90.00°
Sites, in units of the cell vectors:
Cu 0.989 0.000 0.759
Cu 0.582 0.763 0.000
Cu 0.582 0.237 0.000
Cu 0.989 0.000 0.241
Cu 0.011 0.500 0.259
Cu 0.418 0.737 0.500
Cu 0.418 0.263 0.500
Cu 0.011 0.500 0.741
Te 0.246 0.753 0.838
Te 0.246 0.247 0.838
Te 0.791 0.500 0.000
Te 0.246 0.753 0.162
Te 0.246 0.247 0.162
Te 0.754 0.747 0.338
Te 0.754 0.253 0.338
Te 0.209 0.000 0.500
Te 0.754 0.253 0.662
Te 0.754 0.747 0.662
Se 0.790 0.000 0.000
Se 0.210 0.500 0.500

Entry 2:
An optimized crystal structure of Ho2AlNi6Ge. Source: the Alexandria database, functional PBE.

Size of the total moment ... 0.0 μB/f.u.
Theoretical density ... 8.15 Mg/m³
Calculated formation energy ... -39.6 kJ/mol of atoms
E ... -56.309 eV/cell
Space-group type ... No. 12

a = 6.149 Å, b = 6.242 Å, c = 6.241 Å
α = 46.55°, β = 81.40°, γ = 99.61°
Sites, in units of the cell vectors:
Ho 0.211 0.750 0.538
Ho 0.789 0.250 0.462
Al 0.500 0.500 0.000
Ni 0.252 0.753 0.001
Ni 0.578 0.748 0.171
Ni 0.252 0.254 0.501
Ni 0.748 0.247 0.999
Ni 0.422 0.252 0.829
Ni 0.748 0.746 0.499
Ge 0.000 0.000 0.000

Entry 3:
An optimized crystal structure of PuMg2Tl. Source: the Alexandria database, functional PBE.

Size of the total moment ... 6.1 μB/f.u.
Theoretical density ... 8.20 Mg/m³
Calculated formation energy ... 4.9 kJ/mol of atoms
E ... -19.682 eV/cell
Space-group type ... No. 123

a = 3.267 Å, b = 3.267 Å, c = 9.425 Å
α = 90.00°, β = 90.00°, γ = 90.00°
Sites, in units of the cell vectors:
Tl 0.500 0.500 0.000
Mg 0.000 0.000 0.764
Mg 0.000 0.000 0.236
Pu 0.500 0.500 0.500

Entry 4:
An optimized crystal structure of PrPuIn2. Source: the Alexandria database, functional PBE.

Size of the total moment ... 5.8 μB/f.u.
Theoretical density ... 9.27 Mg/m³
Calculated formation energy ... -29.3 kJ/mol of atoms
E ... -25.805 eV/cell
Space-group type ... No. 123

a = 3.392 Å, b = 3.392 Å, c = 9.566 Å
α = 90.00°, β = 90.00°, γ = 90.00°
Sites, in units of the cell vectors:
Pr 0.500 0.500 0.500
In 0.000 0.000 0.756
In 0.000 0.000 0.244
Pu 0.500 0.500 0.000

Entry 5:
An optimized crystal structure of HoThCu. Source: the Alexandria database, functional PBE.

Size of the total moment ... 0.0 μB/f.u.
Theoretical density ... 10.04 Mg/m³
Calculated formation energy ... 15.1 kJ/mol of atoms
E ... -15.623 eV/cell
Space-group type ... No. 156

a = 3.678 Å, b = 4.891 Å, c = 4.891 Å
α = 120.00°, β = 90.00°, γ = 90.00°
Sites, in units of the cell vectors:
Cu 0.404 0.333 0.667
Ho 0.564 0.667 0.333
Th 0.032 0.000 0.000

Entry 6:
An optimized crystal structure of PaNiH6Pd. Source: the Alexandria database, functional PBE.

Size of the total moment ... 0.6 μB/f.u.
Theoretical density ... 9.11 Mg/m³
E ... -42.487 eV/cell
Space-group type ... No. 187

a = 4.484 Å, b = 4.485 Å, c = 4.210 Å
α = 90.00°, β = 90.00°, γ = 60.01°
Sites, in units of the cell vectors:
Pa 0.000 0.000 0.000
Ni 0.333 0.333 0.500
H 0.025 0.487 0.217
H 0.487 0.025 0.783
H 0.487 0.487 0.783
H 0.025 0.487 0.783
H 0.487 0.487 0.217
H 0.487 0.025 0.217
Pd 0.667 0.667 0.500

Entry 7:
An optimized crystal structure of Ca2CdHg7. Source: the Alexandria database, functional PBE.

Size of the total moment ... 0.0 μB/f.u.
Theoretical density ... 7.93 Mg/m³
Calculated formation energy ... 6.0 kJ/mol of atoms
E ... -6.404 eV/cell
Space-group type ... No. 225

a = 7.791 Å, b = 7.791 Å, c = 7.791 Å
α = 60.00°, β = 60.00°, γ = 60.00°
Sites, in units of the cell vectors:
Ca 0.250 0.250 0.250
Ca 0.750 0.750 0.750
Cd 0.000 0.000 0.000
Hg 0.500 0.500 0.500
Hg 0.249 0.751 0.751
Hg 0.249 0.751 0.249
Hg 0.751 0.249 0.751
Hg 0.751 0.751 0.249
Hg 0.249 0.249 0.751
Hg 0.751 0.249 0.249

Entry 8:
An optimized crystal structure of Dy2Co2Ni15. Source: the Alexandria database, functional PBE.

Size of the total moment ... 9.6 μB/f.u.
Theoretical density ... 9.18 Mg/m³
Calculated formation energy ... -18.0 kJ/mol of atoms
E ... -113.674 eV/cell
Space-group type ... No. 166

a = 6.254 Å, b = 6.254 Å, c = 6.254 Å
α = 82.82°, β = 82.82°, γ = 82.82°
Sites, in units of the cell vectors:
Dy 0.341 0.341 0.341
Dy 0.659 0.659 0.659
Co 0.093 0.093 0.093
Co 0.907 0.907 0.907
Ni 0.500 0.000 0.000
Ni 0.000 0.000 0.500
Ni 0.000 0.500 0.000
Ni 0.000 0.704 0.296
Ni 0.704 0.296 0.000
Ni 0.296 0.000 0.704
Ni 0.296 0.704 0.000
Ni 0.704 0.000 0.296
Ni 0.000 0.296 0.704
Ni 0.153 0.656 0.656
Ni 0.656 0.656 0.153
Ni 0.656 0.153 0.656
Ni 0.847 0.344 0.344
Ni 0.344 0.344 0.847
Ni 0.344 0.847 0.344

Entry 9:
An optimized crystal structure of Dy3Ga2Co3B. Source: the Alexandria database, functional PBE.

Size of the total moment ... 0.0 μB/f.u.
Theoretical density ... 8.88 Mg/m³
Calculated formation energy ... -28.5 kJ/mol of atoms
E ... -50.518 eV/cell
Space-group type ... No. 189

a = 3.534 Å, b = 7.055 Å, c = 7.055 Å
α = 120.00°, β = 90.00°, γ = 90.00°
Sites, in units of the cell vectors:
Dy 0.000 0.000 0.366
Dy 0.000 0.634 0.634
Dy 0.000 0.366 0.000
Ga 0.500 0.333 0.667
Ga 0.500 0.667 0.333
Co 0.500 0.797 0.000
Co 0.500 0.203 0.203
Co 0.500 0.000 0.797
B 0.000 0.000 0.000

Entry 10:
An optimized crystal structure of Tm3Al8Ag3. Source: the Alexandria database, functional PBE.

Size of the total moment ... 0.0 μB/f.u.
Theoretical density ... 6.44 Mg/m³
Calculated formation energy ... -33.9 kJ/mol of atoms
E ... -56.825 eV/cell
Space-group type ... No. 71

a = 4.378 Å, b = 8.282 Å, c = 8.282 Å
α = 71.77°, β = 74.67°, γ = 74.67°
Sites, in units of the cell vectors:
Tm 0.500 0.500 0.500
Tm 0.797 0.203 0.203
Tm 0.203 0.797 0.797
Al 0.637 0.079 0.648
Al 0.363 0.921 0.352
Al 0.637 0.648 0.079
Al 0.363 0.352 0.921
Al 0.841 0.791 0.526
Al 0.159 0.209 0.474
Al 0.841 0.526 0.791
Al 0.159 0.474 0.209
Ag 0.500 0.000 0.000
Ag 0.000 0.803 0.197
Ag 0.000 0.197 0.803

Entry 11:
An optimized crystal structure of NpGe2Ru. Source: the Alexandria database, functional PBE.

Size of the total moment ... 3.4 μB/f.u.
Theoretical density ... 8.65 Mg/m³
Calculated formation energy ... 22.2 kJ/mol of atoms
E ... -30.532 eV/cell
Space-group type ... No. 71

a = 4.417 Å, b = 4.984 Å, c = 5.370 Å
α = 117.65°, β = 114.29°, γ = 90.00°
Sites, in units of the cell vectors:
Np 0.000 0.502 0.000
Ge 0.347 0.848 0.694
Ge 0.653 0.154 0.306
Ru 0.000 0.002 0.000

Entry 12:
An optimized crystal structure of Dy15Er4Tm. Source: the Alexandria database, functional PBE.

Size of the total moment ... 0.0 μB/f.u.
Theoretical density ... 8.78 Mg/m³
Calculated formation energy ... 1.9 kJ/mol of atoms
E ... -91.371 eV/cell
Space-group type ... No. 123

a = 4.986 Å, b = 4.986 Å, c = 24.907 Å
α = 90.00°, β = 90.00°, γ = 90.00°
Sites, in units of the cell vectors:
Dy 0.500 0.500 0.000
Dy 0.500 0.500 0.200
Dy 0.500 0.500 0.400
Dy 0.500 0.500 0.600
Dy 0.500 0.500 0.800
Dy 0.500 0.000 0.100
Dy 0.500 0.000 0.300
Dy 0.500 0.000 0.500
Dy 0.500 0.000 0.700
Dy 0.500 0.000 0.900
Dy 0.000 0.500 0.100
Dy 0.000 0.500 0.300
Dy 0.000 0.500 0.500
Dy 0.000 0.500 0.700
Dy 0.000 0.500 0.900
Er 0.000 0.000 0.200
Er 0.000 0.000 0.400
Er 0.000 0.000 0.600
Er 0.000 0.000 0.800
Tm 0.000 0.000 0.000

Entry 13:
An optimized crystal structure of CaHg4Pd2. Source: the Alexandria database, functional PBE.

Size of the total moment ... 0.0 μB/f.u.
Theoretical density ... 10.96 Mg/m³
Calculated formation energy ... -27.3 kJ/mol of atoms
E ... -31.154 eV/cell
Space-group type ... No. 136

a = 3.973 Å, b = 8.972 Å, c = 8.972 Å
α = 90.00°, β = 90.00°, γ = 90.00°
Sites, in units of the cell vectors:
Ca 0.500 0.000 0.000
Ca 0.000 0.500 0.500
Hg 0.000 0.088 0.325
Hg 0.000 0.912 0.675
Hg 0.500 0.175 0.588
Hg 0.500 0.825 0.412
Hg 0.500 0.412 0.825
Hg 0.500 0.588 0.175
Hg 0.000 0.325 0.088
Hg 0.000 0.675 0.912
Pd 0.000 0.184 0.816
Pd 0.000 0.816 0.184
Pd 0.500 0.684 0.684
Pd 0.500 0.316 0.316

Entry 14:
An optimized crystal structure of NbCo2B4. Source: the Alexandria database, functional PBE.

Size of the total moment ... 0.0 μB/f.u.
Theoretical density ... 7.05 Mg/m³
Calculated formation energy ... -50.3 kJ/mol of atoms
E ... -54.640 eV/cell
Space-group type ... No. 71

a = 3.050 Å, b = 3.142 Å, c = 6.620 Å
α = 103.73°, β = 103.32°, γ = 90.00°
Sites, in units of the cell vectors:
Nb 0.500 0.000 0.000
B 0.652 0.652 0.304
B 0.348 0.348 0.696
B 0.076 0.576 0.152
B 0.924 0.424 0.848
Co 0.813 0.813 0.627
Co 0.187 0.187 0.373

Entry 15:
An optimized crystal structure of YHf2TcRu. Source: the Alexandria database, functional PBE.

Size of the total moment ... 0.0 μB/f.u.
Theoretical density ... 9.10 Mg/m³
Calculated formation energy ... 42.6 kJ/mol of atoms
E ... -43.805 eV/cell
Space-group type ... No. 123

a = 4.932 Å, b = 4.932 Å, c = 4.840 Å
α = 90.00°, β = 90.00°, γ = 90.00°
Sites, in units of the cell vectors:
Y 0.500 0.500 0.500
Ru 0.000 0.000 0.500
Hf 0.000 0.500 0.000
Hf 0.500 0.000 0.000
Tc 0.000 0.000 0.000

Entry 16:
An optimized crystal structure of CaHI2. Source: the Alexandria database, functional PBE.

Size of the total moment ... 0.0 μB/f.u.
Theoretical density ... 3.62 Mg/m³
E ... -23.387 eV/cell
Space-group type ... No. 8

a = 7.455 Å, b = 4.605 Å, c = 7.870 Å
α = 90.00°, β = 90.48°, γ = 90.00°
Sites, in units of the cell vectors:
Ca 0.201 0.000 0.096
Ca 0.201 0.500 0.596
H 0.438 0.000 0.263
H 0.438 0.500 0.763
I 0.447 0.000 0.764
I 0.447 0.500 0.264
I 0.969 0.000 0.428
I 0.969 0.500 0.928

Entry 17:
An optimized crystal structure of BaErZn2Pt2. Source: the Alexandria database, functional PBE.

Size of the total moment ... 0.0 μB/f.u.
Theoretical density ... 9.84 Mg/m³
Calculated formation energy ... -78.3 kJ/mol of atoms
E ... -25.983 eV/cell
Space-group type ... No. 164

a = 4.535 Å, b = 4.535 Å, c = 7.824 Å
α = 90.00°, β = 90.00°, γ = 120.00°
Sites, in units of the cell vectors:
Ba 0.000 0.000 0.000
Er 0.000 0.000 0.500
Zn 0.667 0.333 0.307
Zn 0.333 0.667 0.693
Pt 0.667 0.333 0.683
Pt 0.333 0.667 0.317

Entry 18:
An optimized crystal structure of Li3Zn3Cd8. Source: the Alexandria database, functional PBE.

Size of the total moment ... 0.0 μB/f.u.
Theoretical density ... 6.37 Mg/m³
Calculated formation energy ... -6.6 kJ/mol of atoms
E ... -17.844 eV/cell
Space-group type ... No. 71

a = 4.245 Å, b = 8.565 Å, c = 8.565 Å
α = 81.79°, β = 75.65°, γ = 75.65°
Sites, in units of the cell vectors:
Li 0.500 0.500 0.500
Li 0.783 0.217 0.217
Li 0.217 0.783 0.783
Zn 0.500 0.000 0.000
Zn 0.000 0.865 0.135
Zn 0.000 0.135 0.865
Cd 0.649 0.049 0.653
Cd 0.351 0.951 0.347
Cd 0.649 0.653 0.049
Cd 0.351 0.347 0.951
Cd 0.878 0.748 0.496
Cd 0.122 0.252 0.504
Cd 0.878 0.496 0.748
Cd 0.122 0.504 0.252

Entry 19:
An optimized crystal structure of MnTcIr. Source: the Alexandria database, functional PBE.

Size of the total moment ... 2.2 μB/f.u.
Theoretical density ... 13.86 Mg/m³
Calculated formation energy ... -7.3 kJ/mol of atoms
E ... -28.624 eV/cell
Space-group type ... No. 44

a = 4.666 Å, b = 4.666 Å, c = 4.666 Å
α = 146.35°, β = 132.18°, γ = 59.74°
Sites, in units of the cell vectors:
Ir 0.999 0.999 0.000
Mn 0.333 0.333 0.000
Tc 0.668 0.668 0.000

Entry 20:
An optimized crystal structure of Th4MnPd15. Source: the Alexandria database, functional PBE.

Size of the total moment ... 4.9 μB/f.u.
Theoretical density ... 11.85 Mg/m³
Calculated formation energy ... -78.2 kJ/mol of atoms
E ... -132.956 eV/cell
Space-group type ... No. 123

a = 4.193 Å, b = 4.193 Å, c = 20.552 Å
α = 90.00°, β = 90.00°, γ = 90.00°
Sites, in units of the cell vectors:
Th 0.000 0.000 0.187
Th 0.000 0.000 0.396
Th 0.000 0.000 0.604
Th 0.000 0.000 0.813
Mn 0.000 0.000 0.000
Pd 0.500 0.500 0.000
Pd 0.500 0.500 0.195
Pd 0.500 0.500 0.399
Pd 0.500 0.500 0.601
Pd 0.500 0.500 0.805
Pd 0.500 0.000 0.091
Pd 0.500 0.000 0.296
Pd 0.500 0.000 0.500
Pd 0.500 0.000 0.704
Pd 0.500 0.000 0.909
Pd 0.000 0.500 0.091
Pd 0.000 0.500 0.296
Pd 0.000 0.500 0.500
Pd 0.000 0.500 0.704
Pd 0.000 0.500 0.909

Entry 21:
An optimized crystal structure of Ag2AsRu. Source: the Alexandria database, functional PBE.

Size of the total moment ... 0.0 μB/f.u.
Theoretical density ... 9.15 Mg/m³
Calculated formation energy ... 28.0 kJ/mol of atoms
E ... -18.467 eV/cell
Space-group type ... No. 71

a = 6.426 Å, b = 6.426 Å, c = 6.426 Å
α = 152.38°, β = 144.57°, γ = 45.50°
Sites, in units of the cell vectors:
Ru 0.250 0.750 0.500
As 0.750 0.250 0.500
Ag 0.945 0.945 0.000
Ag 0.555 0.555 0.000

Entry 22:
An optimized crystal structure of Ta3NbTc3. Source: the Alexandria database, functional PBE.

Size of the total moment ... 0.0 μB/f.u.
Theoretical density ... 12.51 Mg/m³
Calculated formation energy ... -8.1 kJ/mol of atoms
E ... -154.622 eV/cell
Space-group type ... No. 65

a = 6.284 Å, b = 6.284 Å, c = 6.248 Å
α = 90.00°, β = 90.00°, γ = 90.15°
Sites, in units of the cell vectors:
Ta 0.248 0.248 0.500
Ta 0.267 0.733 0.500
Ta 0.733 0.267 0.500
Ta 0.246 0.754 0.000
Ta 0.754 0.246 0.000
Ta 0.752 0.752 0.500
Nb 0.271 0.271 0.000
Nb 0.729 0.729 0.000
Tc 0.000 0.000 0.750
Tc 0.500 0.000 0.250
Tc 0.000 0.500 0.250
Tc 0.500 0.000 0.750
Tc 0.000 0.500 0.750
Tc 0.000 0.000 0.250